(1)
A plane-wave DFT calculation with PBE was carried out for a relaxed structure of MgTc2Ge.

Electronic total energy in eV for the cell shown: -26.6

Unit cell a=4.390 b=4.390 c=4.390 alpha=60.00 beta=60.00 gamma=60.00
Site moments in Bohr magnetons follow the coordinates.
Element x y z (fractional)
Tc1 0.000 0.000 0.000  0.30
Ge1 0.500 0.500 0.500  0.02
Mg1 0.250 0.250 0.250  0.01
Tc2 0.750 0.750 0.750  0.04

***

(2)
A plane-wave DFT calculation with PBE was carried out for a relaxed structure of MgUGe.

Electronic total energy in eV for the cell shown: -15.4

Unit cell a=4.838 b=4.838 c=4.838 alpha=60.00 beta=60.00 gamma=60.00
Element x y z (fractional)
U1 0.000 0.000 0.000
Ge1 0.250 0.250 0.250
Mg1 0.750 0.750 0.750

***

(3)
A plane-wave DFT calculation with PBE was carried out for a relaxed structure of MgUGe.

Electronic total energy in eV for the cell shown: -16.8

Unit cell a=4.679 b=4.679 c=4.679 alpha=60.00 beta=60.00 gamma=60.00
Element x y z (fractional)
U1 0.750 0.750 0.750
Ge1 0.000 0.000 0.000
Mg1 0.250 0.250 0.250

***

(4)
A plane-wave DFT calculation with PBE was carried out for a relaxed structure of MgGeW2.

Electronic total energy in eV for the cell shown: -30.8

Unit cell a=4.477 b=4.477 c=4.477 alpha=60.00 beta=60.00 gamma=60.00
Element x y z (fractional)
W1 0.750 0.750 0.750
Ge1 0.500 0.500 0.500
W2 0.000 0.000 0.000
Mg1 0.250 0.250 0.250

***

(5)
A plane-wave DFT calculation with PBE was carried out for a relaxed structure of MgGeW.

Electronic total energy in eV for the cell shown: -17.2
Offset from the most stable computed form in eV/atom: 0.000

Unit cell a=4.304 b=4.304 c=4.304 alpha=60.00 beta=60.00 gamma=60.00
Element x y z (fractional)
W1 0.750 0.750 0.750
Mg1 0.250 0.250 0.250
Ge1 0.000 0.000 0.000

***

(6)
A plane-wave DFT calculation with PBE was carried out for a relaxed structure of MgGeW.

Electronic total energy in eV for the cell shown: -16.5
Offset from the most stable computed form in eV/atom: 0.242

Unit cell a=4.405 b=4.405 c=4.405 alpha=60.00 beta=60.00 gamma=60.00
Element x y z (fractional)
Ge1 0.250 0.250 0.250
Mg1 0.750 0.750 0.750
W1 0.000 0.000 0.000

***

(7)
A plane-wave DFT calculation with PBE was carried out for a relaxed structure of Mg2ZnGe.

Electronic total energy in eV for the cell shown: -8.8

Unit cell a=4.802 b=4.802 c=4.802 alpha=60.00 beta=60.00 gamma=60.00
Element x y z (fractional)
Zn1 0.250 0.250 0.250
Ge1 0.500 0.500 0.500
Mg1 0.000 0.000 0.000
Mg2 0.750 0.750 0.750

***

(8)
A plane-wave DFT calculation with PBE was carried out for a relaxed structure of MgZr2Ge.

Electronic total energy in eV for the cell shown: -22.7

Unit cell a=4.854 b=4.854 c=4.854 alpha=60.00 beta=60.00 gamma=60.00
Element x y z (fractional)
Mg1 0.250 0.250 0.250
Zr1 0.750 0.750 0.750
Zr2 0.000 0.000 0.000
Ge1 0.500 0.500 0.500